(1)
A geometry-optimized Zn7P10 structure. Source: Alexandria, functional PBEsol.

Calculated values
Energy of formation from the pure elements   -0.155 eV per atom
Space-group type   No. 43

Cell: 13.091 10.917 16.771 Å, 51.27 40.59 88.14°
Atoms (fractional coordinates):
Zn 0.000 0.000 0.000
Zn 0.064 0.982 0.279
Zn 0.250 0.250 0.250
Zn 0.263 0.667 0.333
Zn 0.323 0.524 0.754
Zn 0.496 0.851 0.927
Zn 0.513 0.917 0.583
Zn 0.524 0.323 0.399
Zn 0.576 0.971 0.268
Zn 0.667 0.263 0.737
Zn 0.851 0.496 0.726
Zn 0.917 0.513 0.987
Zn 0.971 0.576 0.186
Zn 0.982 0.064 0.674
P 0.044 0.380 0.459
P 0.133 0.791 0.870
P 0.245 0.895 0.531
P 0.259 0.466 0.622
P 0.266 0.430 0.971
P 0.279 0.918 0.984
P 0.380 0.044 0.117
P 0.430 0.266 0.332
P 0.466 0.259 0.652
P 0.598 0.628 0.784
P 0.620 0.657 0.259
P 0.628 0.598 0.991
P 0.657 0.620 0.464
P 0.719 0.922 0.005
P 0.786 0.991 0.593
P 0.791 0.133 0.206
P 0.895 0.245 0.328
P 0.918 0.279 0.820
P 0.922 0.719 0.355
P 0.991 0.786 0.630

=====

(2)
A geometry-optimized HfInIr2I structure. Source: Alexandria, functional PBEsol.

Calculated values
ΔE_f (raw)   1.76 eV per atom
Space-group type   No. 123

Cell: 4.794 4.794 5.328 Å, 90.00 90.00 90.00°
Atoms (fractional coordinates):
Hf 0.000 0.000 0.000
In 0.500 0.500 0.000
Ir 0.000 0.500 0.500
Ir 0.500 0.000 0.500
I 0.500 0.500 0.500

=====

(3)
A geometry-optimized TiCoSn structure. Source: Alexandria, functional PBEsol.

Calculated values
Energy of formation from the pure elements   -0.360 eV per atom
Space-group type   No. 216

Cell: 4.147 4.147 4.147 Å, 60.00 60.00 60.00°
Atoms (fractional coordinates):
Ti 0.000 0.000 0.000
Co 0.750 0.750 0.750
Sn 0.500 0.500 0.500

=====

(4)
A geometry-optimized MnInSb2 structure. Source: Alexandria, functional PBEsol.

Calculated values
ΔE_f (raw)   0.28 eV per atom
Space-group type   No. 122

Cell: 7.830 7.830 7.830 Å, 133.74 133.74 67.50°
Atoms (fractional coordinates):
Mn 0.000 0.000 0.000
Mn 0.750 0.250 0.500
In 0.250 0.750 0.500
In 0.500 0.500 0.000
Sb 0.092 0.625 0.967
Sb 0.375 0.342 0.467
Sb 0.658 0.125 0.033
Sb 0.875 0.908 0.533

=====

(5)
A geometry-optimized MnCo structure. Source: Alexandria, functional PBEsol.

Calculated values
Energy of formation from the pure elements   0.035 eV per atom
Space-group type   No. 164

Cell: 2.441 2.441 7.793 Å, 90.00 90.00 120.00°
Atoms (fractional coordinates):
Mn 0.333 0.667 0.376
Mn 0.667 0.333 0.624
Co 0.333 0.667 0.873
Co 0.667 0.333 0.127

=====

(6)
A geometry-optimized P2WSCl structure. Source: Alexandria, functional PBEsol.

Calculated values
ΔE_f (raw)   0.29 eV per atom
Space-group type   No. 123

Cell: 4.701 4.701 4.526 Å, 90.00 90.00 90.00°
Atoms (fractional coordinates):
P 0.000 0.500 0.000
P 0.500 0.000 0.000
W 0.000 0.000 0.000
S 0.000 0.000 0.500
Cl 0.500 0.500 0.500

=====

(7)
A geometry-optimized Li3GaCl structure. Source: Alexandria, functional PBEsol.

Calculated values
Polymorph energy (0 for the lowest one)   2.40 eV per formula unit
ΔE_f (raw)   -0.08 eV per atom
Space-group type   No. 221

Cell: 5.027 5.027 5.027 Å, 90.00 90.00 90.00°
Atoms (fractional coordinates):
Li 0.000 0.000 0.500
Li 0.000 0.500 0.000
Li 0.500 0.000 0.000
Ga 0.000 0.000 0.000
Cl 0.500 0.500 0.500

=====

(8)
A geometry-optimized CaTl2Pb structure. Source: Alexandria, functional PBEsol.

Calculated values
Energy of formation from the pure elements   -0.237 eV per atom
Space-group type   No. 99

Cell: 4.026 4.026 6.977 Å, 90.00 90.00 90.00°
Atoms (fractional coordinates):
Ca 0.000 0.000 0.000
Tl 0.000 0.000 0.506
Tl 0.500 0.500 0.744
Pb 0.500 0.500 0.264

=====

(9)
A geometry-optimized LaSc3Te structure. Source: Alexandria, functional PBEsol.

Calculated values
ΔE_f (raw)   0.74 eV per atom
Space-group type   No. 221

Cell: 5.169 5.169 5.169 Å, 90.00 90.00 90.00°
Atoms (fractional coordinates):
La 0.000 0.000 0.000
Sc 0.000 0.000 0.500
Sc 0.000 0.500 0.000
Sc 0.500 0.000 0.000
Te 0.500 0.500 0.500

=====

(10)
A geometry-optimized CdB2Pt structure. Source: Alexandria, functional PBEsol.

Calculated values
Energy of formation from the pure elements   0.652 eV per atom
Space-group type   No. 122

Cell: 5.996 5.996 5.996 Å, 128.87 128.87 75.21°
Atoms (fractional coordinates):
Cd 0.000 0.000 0.000
Cd 0.750 0.250 0.500
B 0.188 0.625 0.063
B 0.375 0.438 0.563
B 0.562 0.125 0.937
B 0.875 0.812 0.437
Pt 0.250 0.750 0.500
Pt 0.500 0.500 0.000

=====

(11)
A geometry-optimized BaNaScB2O6 structure. Source: Alexandria, functional PBEsol.

Calculated values
ΔE_f (raw)   -2.80 eV per atom
Space-group type   No. 148

Cell: 11.862 11.862 11.862 Å, 25.54 25.54 25.54°
Atoms (fractional coordinates):
Ba 0.103 0.103 0.103
Ba 0.897 0.897 0.897
Na 0.377 0.377 0.377
Na 0.623 0.623 0.623
Sc 0.000 0.000 0.000
Sc 0.500 0.500 0.500
B 0.203 0.203 0.203
B 0.296 0.296 0.296
B 0.704 0.704 0.704
B 0.797 0.797 0.797
O 0.099 0.192 0.597
O 0.100 0.644 0.645
O 0.192 0.597 0.099
O 0.355 0.900 0.356
O 0.356 0.355 0.900
O 0.403 0.901 0.808
O 0.597 0.099 0.192
O 0.644 0.645 0.100
O 0.645 0.100 0.644
O 0.808 0.403 0.901
O 0.900 0.356 0.355
O 0.901 0.808 0.403

=====

(12)
A geometry-optimized Fe3TcP structure. Source: Alexandria, functional PBEsol.

Calculated values
Energy of formation from the pure elements   0.634 eV per atom
Space-group type   No. 221

Cell: 4.018 4.018 4.018 Å, 90.00 90.00 90.00°
Atoms (fractional coordinates):
Fe 0.000 0.000 0.500
Fe 0.000 0.500 0.000
Fe 0.500 0.000 0.000
Tc 0.500 0.500 0.500
P 0.000 0.000 0.000

=====

(13)
A geometry-optimized Sn2As2Pb structure. Source: Alexandria, functional PBEsol.

Calculated values
Energy of formation from the pure elements   0.130 eV per atom
Space-group type   No. 139

Cell: 9.020 9.020 9.020 Å, 155.45 155.45 35.00°
Atoms (fractional coordinates):
Sn 0.111 0.111 0.000
Sn 0.889 0.889 0.000
As 0.250 0.750 0.500
As 0.750 0.250 0.500
Pb 0.500 0.500 0.000

=====

(14)
A geometry-optimized Ba2CaMn structure. Source: Alexandria, functional PBEsol.

Calculated values
Energy of formation from the pure elements   0.408 eV per atom
Polymorph energy (0 for the lowest one)   0.00 eV per formula unit
Space-group type   No. 99

Cell: 3.980 3.980 9.967 Å, 90.00 90.00 90.00°
Atoms (fractional coordinates):
Ba 0.000 0.000 0.000
Ba 0.500 0.500 0.340
Ca 0.000 0.000 0.638
Mn 0.500 0.500 0.795

=====

(15)
A geometry-optimized SrAs2O6 structure. Source: Alexandria, functional PBEsol.

Calculated values
ΔE_f (raw)   -1.82 eV per atom
Space-group type   No. 162

Cell: 4.900 4.900 5.434 Å, 90.00 90.00 120.00°
Atoms (fractional coordinates):
Sr 0.000 0.000 0.000
As 0.333 0.667 0.500
As 0.667 0.333 0.500
O 0.000 0.383 0.694
O 0.000 0.617 0.306
O 0.383 0.000 0.694
O 0.383 0.383 0.306
O 0.617 0.000 0.306
O 0.617 0.617 0.694

=====

(16)
A geometry-optimized Li2As structure. Source: Alexandria, functional PBEsol.

Calculated values
Energy of formation from the pure elements   -0.651 eV per atom
Polymorph energy (0 for the lowest one)   0.00 eV per formula unit
Space-group type   No. 189

Cell: 7.300 7.300 2.941 Å, 90.00 90.00 120.00°
Atoms (fractional coordinates):
Li 0.000 0.371 0.000
Li 0.000 0.710 0.500
Li 0.290 0.290 0.500
Li 0.371 0.000 0.000
Li 0.629 0.629 0.000
Li 0.710 0.000 0.500
As 0.000 0.000 0.000
As 0.333 0.667 0.500
As 0.667 0.333 0.500

=====

(17)
A geometry-optimized ZrReSb3 structure. Source: Alexandria, functional PBEsol.

Calculated values
ΔE_f (raw)   0.93 eV per atom
Space-group type   No. 221

Cell: 5.115 5.115 5.115 Å, 90.00 90.00 90.00°
Atoms (fractional coordinates):
Zr 0.000 0.000 0.000
Re 0.500 0.500 0.500
Sb 0.000 0.500 0.500
Sb 0.500 0.000 0.500
Sb 0.500 0.500 0.000

=====

(18)
A geometry-optimized ScCdNi2Hg structure. Source: Alexandria, functional PBEsol.

Calculated values
Energy of formation from the pure elements   0.826 eV per atom
Space-group type   No. 123

Cell: 4.437 4.437 5.268 Å, 90.00 90.00 90.00°
Atoms (fractional coordinates):
Sc 0.000 0.000 0.000
Cd 0.500 0.500 0.500
Ni 0.000 0.500 0.000
Ni 0.500 0.000 0.000
Hg 0.000 0.000 0.500

=====

(19)
A geometry-optimized In2IrRu structure. Source: Alexandria, functional PBEsol.

Calculated values
Energy of formation from the pure elements   0.159 eV per atom
Space-group type   No. 99

Cell: 2.902 2.902 8.336 Å, 90.00 90.00 90.00°
Atoms (fractional coordinates):
In 0.000 0.000 0.000
In 0.500 0.500 0.322
Ir 0.000 0.000 0.567
Ru 0.500 0.500 0.762

=====

(20)
A geometry-optimized MnZnSi2 structure. Source: Alexandria, functional PBEsol.

Calculated values
ΔE_f (raw)   0.04 eV per atom
Space-group type   No. 71

Cell: 4.453 4.453 4.453 Å, 134.08 128.35 71.56°
Atoms (fractional coordinates):
Mn 0.000 0.000 0.000
Zn 0.500 0.500 0.000
Si 0.249 0.749 0.500
Si 0.751 0.251 0.500

=====

(21)
A geometry-optimized Fe2Re structure. Source: Alexandria, functional PBEsol.

Calculated values
Energy of formation from the pure elements   -0.058 eV per atom
Space-group type   No. 194

Cell: 4.591 4.591 15.050 Å, 90.00 90.00 120.00°
Atoms (fractional coordinates):
Fe 0.000 0.500 0.000
Fe 0.000 0.500 0.500
Fe 0.163 0.325 0.250
Fe 0.163 0.837 0.250
Fe 0.325 0.163 0.750
Fe 0.333 0.667 0.127
Fe 0.333 0.667 0.373
Fe 0.500 0.000 0.000
Fe 0.500 0.000 0.500
Fe 0.500 0.500 0.000
Fe 0.500 0.500 0.500
Fe 0.667 0.333 0.627
Fe 0.667 0.333 0.873
Fe 0.675 0.837 0.250
Fe 0.837 0.163 0.750
Fe 0.837 0.675 0.750
Re 0.000 0.000 0.093
Re 0.000 0.000 0.407
Re 0.000 0.000 0.593
Re 0.000 0.000 0.907
Re 0.333 0.667 0.657
Re 0.333 0.667 0.843
Re 0.667 0.333 0.157
Re 0.667 0.333 0.343

=====

(22)
A geometry-optimized KFeCo2 structure. Source: Alexandria, functional PBEsol.

Calculated values
Energy of formation from the pure elements   1.231 eV per atom
Space-group type   No. 65

Cell: 5.004 5.004 2.461 Å, 90.00 90.00 111.94°
Atoms (fractional coordinates):
K 0.000 0.000 0.000
Fe 0.500 0.500 0.000
Co 0.000 0.500 0.500
Co 0.500 0.000 0.500

=====

(23)
A geometry-optimized TaAg4Pb structure. Source: Alexandria, functional PBEsol.

Calculated values
Energy of formation from the pure elements   0.523 eV per atom
Space-group type   No. 216

Cell: 5.420 5.420 5.420 Å, 60.00 60.00 60.00°
Atoms (fractional coordinates):
Ta 0.000 0.000 0.000
Ag 0.374 0.374 0.374
Ag 0.374 0.374 0.877
Ag 0.374 0.877 0.374
Ag 0.877 0.374 0.374
Pb 0.750 0.750 0.750

=====

(24)
A geometry-optimized Al2Hg structure. Source: Alexandria, functional PBEsol.

Calculated values
Energy of formation from the pure elements   0.187 eV per atom
Polymorph energy (0 for the lowest one)   0.24 eV per formula unit
Space-group type   No. 140

Cell: 5.331 5.331 5.331 Å, 108.10 108.10 112.24°
Atoms (fractional coordinates):
Al 0.148 0.648 0.796
Al 0.352 0.148 0.500
Al 0.648 0.852 0.500
Al 0.852 0.352 0.204
Hg 0.250 0.250 0.000
Hg 0.750 0.750 0.000

=====

(25)
A geometry-optimized TaCr2Te structure. Source: Alexandria, functional PBEsol.

Calculated values
ΔE_f (raw)   0.38 eV per atom
Space-group type   No. 99

Cell: 3.060 3.060 6.592 Å, 90.00 90.00 90.00°
Atoms (fractional coordinates):
Ta 0.000 0.000 0.000
Cr 0.000 0.000 0.573
Cr 0.500 0.500 0.754
Te 0.500 0.500 0.315

=====

| no. | final energy (eV/atom) |
| --- | --- |
| 1 | -4.2130 |
| 2 | -5.2151 |
| 3 | -7.1331 |
| 4 | -5.1833 |
| 5 | -8.7139 |
| 6 | -6.0714 |
| 7 | -2.3321 |
| 8 | -3.0849 |
| 9 | -4.9999 |
| 10 | -4.8961 |
| 11 | -7.8623 |
| 12 | -8.1557 |
| 13 | -4.4165 |
| 14 | -3.6397 |
| 15 | -6.6608 |
| 16 | -3.6644 |
| 17 | -6.2926 |
| 18 | -3.3110 |
| 19 | -6.3314 |
| 20 | -5.6648 |
| 21 | -10.4777 |
| 22 | -5.1616 |
| 23 | -4.4425 |
| 24 | -2.7295 |
| 25 | -8.7582 |